No. 1
This record from the Alexandria database describes PtPbF6 after structural relaxation. The functional is PBE.

Summary:
ΔE_f (raw)   -1.793 eV/atom

Structure (extended XYZ):
```
16
Lattice="-0.792 -2.669 4.722 0.386 -2.798 -4.698 10.279 -0.756 1.295" Properties=species:S:1:pos:R:3 pbc="T T T"
Pb 2.563 -2.944 -1.234
F 9.025 -2.267 1.069
Pt 0.000 0.000 0.000
F 0.915 -0.941 1.477
Pb 7.310 -3.279 2.554
F 6.009 -4.337 0.720
F 0.848 -3.956 0.250
F 6.441 -3.960 -2.485
F 3.487 -4.868 1.852
Pt 5.139 -0.378 0.648
F 3.864 -1.886 0.599
F 9.395 -2.731 -2.133
F 0.479 -3.492 3.452
F 6.387 -1.355 -0.533
F 8.958 -5.283 -0.158
F 3.432 -2.263 3.805
```

=====

No. 2
This record from the Alexandria database describes PtPb2F after structural relaxation. The functional is PBE.

Summary:
Polymorph energy (0 for the lowest one)   0.33 eV per formula unit
ΔE_f (raw)   -0.697 eV/atom

Structure (extended XYZ):
```
8
Lattice="5.759 0.000 0.000 0.000 5.759 0.000 2.879 2.879 6.693" Properties=species:S:1:pos:R:3 pbc="T T T"
F 2.879 2.879 0.000
F 2.879 5.759 3.347
Pb 7.198 7.046 5.020
Pt 5.759 2.879 3.347
Pb 4.167 1.440 1.673
Pt 0.000 0.000 0.000
Pb 1.592 4.319 1.673
Pb 4.319 4.471 5.020
```

=====

No. 3
This record from the Alexandria database describes PtPbF2 after structural relaxation. The functional is PBE.

Summary:
Polymorph energy (0 for the lowest one)   2.04 eV per formula unit
ΔE_f (raw)   -0.449 eV/atom

Structure (extended XYZ):
```
4
Lattice="-0.705 5.235 6.895 -0.500 2.480 8.310 2.078 3.973 7.440" Properties=species:S:1:pos:R:3 pbc="T T T"
Pt 0.436 5.844 11.322
F 0.794 10.629 20.593
Pb 0.000 0.000 0.000
F 0.079 1.059 2.052
```

=====

No. 4
This record from the Alexandria database describes PtPb2F after structural relaxation. The functional is PBE.

Summary:
Polymorph energy (0 for the lowest one)   0.00 eV per formula unit
ΔE_f (raw)   -0.780 eV/atom

Structure (extended XYZ):
```
4
Lattice="-1.562 2.250 4.006 -3.915 2.862 -0.195 -4.138 -1.402 2.113" Properties=species:S:1:pos:R:3 pbc="T T T"
Pt -4.808 1.855 2.962
Pb -7.212 2.783 4.444
F 0.000 0.000 0.000
Pb -2.404 0.928 1.481
```

=====

No. 5
This record from the Alexandria database describes PtPb3F after structural relaxation. The functional is PBE.

Summary:
Polymorph energy (0 for the lowest one)   0.00 eV per formula unit
ΔE_f (raw)   -0.253 eV/atom

Structure (extended XYZ):
```
5
Lattice="4.972 0.000 0.000 0.000 4.972 0.000 0.000 0.000 4.972" Properties=species:S:1:pos:R:3 pbc="T T T"
Pt 2.486 2.486 2.486
Pb 2.486 0.000 0.000
Pb 0.000 2.486 0.000
F 0.000 0.000 0.000
Pb 0.000 0.000 2.486
```

=====

No. 6
This record from the Alexandria database describes PtPbF3 after structural relaxation. The functional is PBE.

Summary:
Polymorph energy (0 for the lowest one)   0.93 eV per formula unit
ΔE_f (raw)   -0.783 eV/atom

Structure (extended XYZ):
```
5
Lattice="4.653 0.000 0.000 0.000 4.653 0.000 0.000 0.000 4.653" Properties=species:S:1:pos:R:3 pbc="T T T"
F 2.327 0.000 0.000
Pt 2.327 2.327 2.327
F 0.000 2.327 0.000
Pb 0.000 0.000 0.000
F 0.000 0.000 2.327
```

=====

No. 7
This record from the Alexandria database describes PtPbF after structural relaxation. The functional is PBE.

Summary:
ΔE_f (raw)   -1.050 eV/atom

Structure (extended XYZ):
```
6
Lattice="4.172 1.115 -0.418 1.095 4.178 -0.418 -2.921 -2.935 8.251" Properties=species:S:1:pos:R:3 pbc="T T T"
Pb -1.301 -1.308 6.216
Pt 2.058 2.068 3.650
Pt 0.289 0.290 3.764
F 1.816 1.825 0.545
F 0.531 0.533 6.869
Pb 3.648 3.666 1.198
```

=====

No. 8
This record from the Alexandria database describes PtPb2F8 after structural relaxation. The functional is PBE.

Summary:
ΔE_f (raw)   -1.947 eV/atom

Structure (extended XYZ):
```
11
Lattice="-3.132 0.811 3.495 -2.650 -5.984 0.859 2.930 -2.912 5.148" Properties=species:S:1:pos:R:3 pbc="T T T"
F -2.019 -4.588 5.913
F 1.572 -4.325 5.466
F -0.832 -3.497 3.588
Pb -0.337 -5.649 4.485
F -0.891 -7.369 6.437
F -2.010 -6.297 2.712
F -1.961 -0.717 3.065
Pt 0.000 0.000 0.000
F -4.424 -3.760 4.036
F -0.841 -1.788 6.789
Pb -2.514 -2.436 5.016
```

=====

No. 9
This record from the Alexandria database describes PtPbF2 after structural relaxation. The functional is PBE.

Summary:
Polymorph energy (0 for the lowest one)   0.95 eV per formula unit
ΔE_f (raw)   -0.722 eV/atom

Structure (extended XYZ):
```
4
Lattice="0.000 3.158 3.158 3.158 0.000 3.158 3.158 3.158 0.000" Properties=species:S:1:pos:R:3 pbc="T T T"
F 1.579 1.579 1.579
F 4.738 4.738 4.738
Pb 3.158 3.158 3.158
Pt 0.000 0.000 0.000
```

=====

No. 10
This record from the Alexandria database describes PtPb3F after structural relaxation. The functional is PBE.

Summary:
Polymorph energy (0 for the lowest one)   0.44 eV per formula unit
ΔE_f (raw)   -0.165 eV/atom

Structure (extended XYZ):
```
5
Lattice="-1.459 -4.398 2.835 5.233 -1.254 0.747 0.049 2.932 4.573" Properties=species:S:1:pos:R:3 pbc="T T T"
Pb 0.025 1.466 2.286
Pb 2.616 -0.627 0.374
Pt 0.000 0.000 0.000
Pb -0.729 -2.199 1.418
F 1.912 -1.360 4.078
```

=====

No. 11
This record from the Alexandria database describes RbPtPbF6 after structural relaxation. The functional is PBE.

Summary:
ΔE_f (raw)   -1.956 eV/atom

Structure (extended XYZ):
```
9
Lattice="6.283 0.177 -0.042 3.293 5.385 -0.035 -0.013 -0.034 4.680" Properties=species:S:1:pos:R:3 pbc="T T T"
F 5.199 2.669 3.530
Rb 3.285 5.313 3.965
Pb 6.309 3.560 1.717
F 1.183 1.325 1.487
F 4.496 0.670 1.524
F 1.832 2.969 3.460
F 3.664 3.462 1.455
Pt 3.187 1.814 2.494
F 2.795 0.120 3.503
```

=====

No. 12
This record from the Alexandria database describes ScPtPbF2 after structural relaxation. The functional is PBE.

Summary:
ΔE_f (raw)   -1.896 eV/atom

Structure (extended XYZ):
```
5
Lattice="3.971 0.000 0.000 0.000 6.603 0.000 0.000 0.000 3.971" Properties=species:S:1:pos:R:3 pbc="T T T"
F 1.986 0.000 0.000
Pb 0.000 3.301 0.000
Pt 1.986 3.301 1.986
Sc 0.000 0.000 0.000
F 0.000 0.000 1.986
```